# 1
# Ba2ZnRe

A relaxed Ba2ZnRe crystal (GGA-PBE, Alexandria via LeMat-Bulk).

Unit cell a=5.9666 b=5.9666 c=5.9666 alpha=132.37 beta=132.37 gamma=69.65
With the nearest neighbours (Å) after each atom.
Element x y z (fractional)
Ba: 0.0000 0.0000 0.0000  4 Re 3.41, 4 Zn 3.44, 4 Ba 3.44
Ba: 0.2500 0.7500 0.5000  4 Zn 3.41, 4 Ba 3.44, 4 Re 3.44
Re: 0.5000 0.5000 0.0000  8 Ba 3.41-3.44, 4 Zn 3.44
Zn: 0.7500 0.2500 0.5000  8 Ba 3.41-3.44, 4 Re 3.44

Output
The calculation puts the density of states at the Fermi level at 0.8839 states/eV/atom. The space group is No. 119. The calculation puts the total energy at -3.437 eV/atom.



# 2
# BaZnRe2

A relaxed BaZnRe2 crystal (GGA-PBE, Alexandria via LeMat-Bulk).

Unit cell a=2.8698 b=4.9786 c=5.5824 alpha=90.00 beta=90.00 gamma=90.00
With the nearest neighbours (Å) after each atom.
Element x y z (fractional)
Ba: 0.0000 0.5000 0.5000  2 Ba 2.87, 4 Zn 2.87, 4 Re 3.14
Re: 0.0000 0.0000 0.0000  6 Re 2.87, 4 Zn 3.14
Re: 0.5000 0.5000 0.0000  6 Re 2.87, 4 Ba 3.14
Zn: 0.5000 0.0000 0.5000  2 Zn 2.87, 4 Ba 2.87, 4 Re 3.14

Output
The calculation puts the density of states at the Fermi level at 0.7445 states/eV/atom. The space group is No. 47. The calculation puts the total energy at -5.768 eV/atom.



# 3
# Ba2ZnRe

A relaxed Ba2ZnRe crystal (GGA-PBE, Alexandria via LeMat-Bulk).

Unit cell a=5.0980 b=5.0980 c=10.9687 alpha=76.56 beta=76.56 gamma=90.00
With the nearest neighbours (Å) after each atom.
Element x y z (fractional)
Re: 0.0000 0.0000 0.0000  4 Ba 3.13
Re: 0.7500 0.2500 0.5000  4 Ba 3.13
Zn: 0.5000 0.5000 0.0000  4 Ba 3.18
Zn: 0.2500 0.7500 0.5000  4 Ba 3.18
Ba: 0.6369 0.1250 0.2500  2 Re 3.13, 2 Zn 3.18
Ba: 0.1131 0.6250 0.2500  2 Re 3.13, 2 Zn 3.18
Ba: 0.3750 0.3631 0.7500  2 Re 3.13, 2 Zn 3.18
Ba: 0.8750 0.8869 0.7500  2 Re 3.13, 2 Zn 3.18

Output
The calculation puts the density of states at the Fermi level at 1.1431 states/eV/atom. The space group is No. 122. The calculation puts the total energy at -3.039 eV/atom.



# 4
# BaZnRe2

A relaxed BaZnRe2 crystal (GGA-PBE, Alexandria via LeMat-Bulk).

Unit cell a=6.0368 b=6.0368 c=6.0368 alpha=148.16 beta=123.93 gamma=65.94
With the nearest neighbours (Å) after each atom.
Element x y z (fractional)
Ba: 0.7549 0.2549 0.5000  8 Re 3.30-3.53, 2 Ba 3.31, 4 Zn 3.48
Re: 0.0623 0.0623 0.0000  2 Re 2.37
Re: 0.2297 0.7297 0.5000  2 Re 2.37
Zn: 0.4531 0.4531 0.0000  2 Re 2.80

Output
The calculation puts the density of states at the Fermi level at 1.0213 states/eV/atom. The space group is No. 44. The calculation puts the total energy at -6.038 eV/atom.



# 5
# BaZnRe2

A relaxed BaZnRe2 crystal (GGA-PBE, Alexandria via LeMat-Bulk).

Unit cell a=6.1976 b=6.1976 c=6.1976 alpha=153.59 beta=132.38 gamma=55.27
With the nearest neighbours (Å) after each atom.
Element x y z (fractional)
Ba: 0.7500 0.2500 0.5000  2 Ba 2.83, 4 Zn 2.87
Re: 0.0334 0.0334 0.0000  2 Zn 2.77, 6 Re 2.83-2.97
Re: 0.4666 0.4666 0.0000  2 Zn 2.77, 6 Re 2.83-2.97
Zn: 0.2500 0.7500 0.5000  4 Re 2.77, 2 Zn 2.83, 4 Ba 2.87

Output
The calculation puts the density of states at the Fermi level at 0.8685 states/eV/atom. The space group is No. 71. The calculation puts the total energy at -5.965 eV/atom.



# 6
# BaZnRe2

A relaxed BaZnRe2 crystal (GGA-PBE, Alexandria via LeMat-Bulk).

Unit cell a=4.3483 b=4.3483 c=6.6646 alpha=70.93 beta=70.93 gamma=60.00
With the nearest neighbours (Å) after each atom.
Element x y z (fractional)
Ba: 0.2546 0.2546 0.2357  4 Zn 3.59-3.60, 7 Re 3.59-3.71
Re: 0.0607 0.0607 0.8179  3 Re 2.52, 3 Zn 2.71
Re: 0.7360 0.7360 0.7922  3 Re 2.52, 3 Zn 2.65
Zn: 0.4487 0.4487 0.6541  6 Re 2.65-2.71

Output
The calculation puts the density of states at the Fermi level at 0.2429 states/eV/atom. The space group is No. 160. The calculation puts the total energy at -6.750 eV/atom.



# 7
# Ba4ZrRe

A relaxed Ba4ZrRe crystal (GGA-PBE, Alexandria via LeMat-Bulk).

Unit cell a=6.9098 b=6.9098 c=6.9098 alpha=60.00 beta=60.00 gamma=60.00
With the nearest neighbours (Å) after each atom.
Element x y z (fractional)
Ba: 0.8736 0.3755 0.3755  6 Ba 3.44-3.47
Ba: 0.3755 0.3755 0.8736  6 Ba 3.44-3.47
Ba: 0.3755 0.8736 0.3755  6 Ba 3.44-3.47
Ba: 0.3755 0.3755 0.3755  6 Ba 3.44-3.47
Zr: 0.0000 0.0000 0.0000  12 Ba 4.05, 4 Re 4.23
Re: 0.7500 0.7500 0.7500  12 Ba 4.05, 4 Zr 4.23

Output
The calculation puts the density of states at the Fermi level at 1.3821 states/eV/atom. The space group is No. 216. The calculation puts the total energy at -3.231 eV/atom.



# 8
# BaZr2Re

A relaxed BaZr2Re crystal (GGA-PBE, Alexandria via LeMat-Bulk).

Unit cell a=5.0384 b=5.0384 c=5.0384 alpha=60.00 beta=60.00 gamma=60.00
With the nearest neighbours (Å) after each atom.
Element x y z (fractional)
Re: 0.5000 0.5000 0.5000  8 Zr 3.09
Ba: 0.0000 0.0000 0.0000  8 Zr 3.09
Zr: 0.2500 0.2500 0.2500  4 Re 3.09, 4 Ba 3.09
Zr: 0.7500 0.7500 0.7500  4 Re 3.09, 4 Ba 3.09

Output
The calculation puts the density of states at the Fermi level at 1.6973 states/eV/atom. The space group is No. 225. As for the excess energy over the best structure of this formula in the dataset: 535.5 meV/atom.



# 9
# BaZr2Re

A relaxed BaZr2Re crystal (GGA-PBE, Alexandria via LeMat-Bulk).

Unit cell a=3.3486 b=3.3490 c=10.1193 alpha=70.82 beta=90.00 gamma=90.00
With the nearest neighbours (Å) after each atom.
Element x y z (fractional)
Ba: 0.5000 0.2500 0.2500  4 Ba 3.35
Re: 0.5000 0.7500 0.7500  8 Zr 2.83
Zr: 0.0000 0.0886 0.9124  4 Re 2.83, 1 Zr 3.10
Zr: 0.0000 0.4114 0.5876  4 Re 2.83, 1 Zr 3.10

Output
The calculation puts the density of states at the Fermi level at 1.3120 states/eV/atom. The space group is No. 10. As for the excess energy over the best structure of this formula in the dataset: 0.0 meV/atom.



# 10
# BaZr2Re

A relaxed BaZr2Re crystal (GGA-PBE, Alexandria via LeMat-Bulk).

Unit cell a=5.0915 b=5.0915 c=7.8073 alpha=72.85 beta=72.85 gamma=39.88
With the nearest neighbours (Å) after each atom.
Element x y z (fractional)
Ba: 0.5787 0.5787 0.4777  2 Re 3.35, 2 Ba 3.47, 1 Zr 3.64
Re: 0.2265 0.2265 0.0961  5 Zr 2.61-2.75
Zr: 0.9522 0.9522 0.0854  3 Re 2.65-2.75
Zr: 0.7427 0.7427 0.8407  2 Re 2.61

Output
The calculation puts the density of states at the Fermi level at 1.1059 states/eV/atom. The space group is No. 8. As for the excess energy over the best structure of this formula in the dataset: 322.2 meV/atom.



# 11
# BaZr2Re

A relaxed BaZr2Re crystal (GGA-PBE, Alexandria via LeMat-Bulk).

Unit cell a=10.4003 b=10.4003 c=10.4003 alpha=19.01 beta=19.01 gamma=19.01
With the nearest neighbours (Å) after each atom.
Element x y z (fractional)
Ba: 0.2500 0.2500 0.2500  6 Ba 3.43, 6 Zr 3.78
Re: 0.7500 0.7500 0.7500  6 Zr 2.73
Zr: 0.0218 0.0218 0.0218  3 Re 2.73
Zr: 0.4782 0.4782 0.4782  3 Re 2.73

Output
The calculation puts the density of states at the Fermi level at 1.4866 states/eV/atom. The space group is No. 166. As for the excess energy over the best structure of this formula in the dataset: 295.5 meV/atom.



# 12
# BaZr2Re

A relaxed BaZr2Re crystal (GGA-PBE, Alexandria via LeMat-Bulk).

Unit cell a=3.4720 b=5.3578 c=4.9676 alpha=90.00 beta=90.00 gamma=90.00
With the nearest neighbours (Å) after each atom.
Element x y z (fractional)
Ba: 0.5000 0.0000 0.5000  4 Zr 3.03, 4 Re 3.19
Re: 0.0000 0.5000 0.5000  4 Zr 3.03, 4 Ba 3.19
Zr: 0.0000 0.0000 0.0000  4 Ba 3.03, 4 Zr 3.19
Zr: 0.5000 0.5000 0.0000  4 Re 3.03, 4 Zr 3.19

Output
The calculation puts the density of states at the Fermi level at 1.5834 states/eV/atom. The space group is No. 47. As for the excess energy over the best structure of this formula in the dataset: 772.6 meV/atom.



# 13
# BaZr2Re

A relaxed BaZr2Re crystal (GGA-PBE, Alexandria via LeMat-Bulk).

Unit cell a=6.4986 b=6.4986 c=6.4986 alpha=151.30 beta=124.47 gamma=63.70
With the nearest neighbours (Å) after each atom.
Element x y z (fractional)
Ba: 0.2500 0.7500 0.5000  2 Ba 3.22, 4 Re 3.43
Re: 0.7500 0.2500 0.5000  4 Zr 2.68
Zr: 0.9437 0.9437 0.0000  2 Re 2.68
Zr: 0.5563 0.5563 0.0000  2 Re 2.68

Output
The calculation puts the density of states at the Fermi level at 1.4352 states/eV/atom. The space group is No. 71. As for the excess energy over the best structure of this formula in the dataset: 388.7 meV/atom.